Run w
First-principles (PBEsol) data for SmTiGe after structural relaxation, as listed in the Alexandria database.

Output
- Fermi-level density of states (states/eV per atom) = 0.96

POSCAR file:
```
SmTiGe
1.0
4.038 0.000 0.000
0.000 4.038 0.000
-2.019 -2.019 7.796
Sm Ge Ti
2 2 2
direct
0.325 0.325 0.651 Sm
0.675 0.675 0.349 Sm
0.881 0.881 0.763 Ge
0.119 0.119 0.237 Ge
0.500 0.000 0.000 Ti
0.000 0.500 0.000 Ti
```



Run x
First-principles (PBEsol) data for SmTiGe after structural relaxation, as listed in the Alexandria database.

Output
- Fermi-level density of states (states/eV per atom) = 1.21

POSCAR file:
```
SmTiGe
1.0
-3.534 0.349 -1.952
1.595 -1.870 -3.222
-2.244 -6.814 2.844
Ti Sm Ge
2 2 2
direct
0.500 0.500 0.000 Ti
0.000 0.000 0.000 Ti
0.000 0.500 0.346 Sm
0.500 0.000 0.654 Sm
0.000 0.500 0.767 Ge
0.500 0.000 0.233 Ge
```



Which of them is least stable? Easy: run w.



Run w
First-principles (PBEsol) data for Ta5Ge3 after structural relaxation, as listed in the Alexandria database.

Output
- Fermi-level density of states (states/eV per atom) = 0.36

POSCAR file:
```
Ta5Ge3
1.0
-4.330 1.596 -4.720
-0.487 -7.085 2.667
-4.979 -1.161 4.175
Ta Ge
10 6
direct
0.315 0.308 0.185 Ta
0.185 0.692 0.993 Ta
0.493 0.308 0.685 Ta
0.815 0.308 0.007 Ta
0.007 0.692 0.493 Ta
0.507 0.692 0.315 Ta
0.993 0.308 0.507 Ta
0.685 0.692 0.815 Ta
0.000 0.000 0.000 Ta
0.500 0.000 0.500 Ta
0.136 0.000 0.636 Ge
0.750 0.500 0.250 Ge
0.864 0.000 0.364 Ge
0.250 0.500 0.750 Ge
0.636 0.000 0.864 Ge
0.364 0.000 0.136 Ge
```



Run x
First-principles (PBEsol) data for Ta5Ge3 after structural relaxation, as listed in the Alexandria database.

Output
- Fermi-level density of states (states/eV per atom) = 0.87

POSCAR file:
```
Ta5Ge3
1.0
-2.042 3.951 2.846
1.690 -3.718 6.375
5.022 4.783 -3.038
Ta Ge
10 6
direct
0.500 0.667 0.333 Ta
0.250 0.761 0.000 Ta
0.000 0.333 0.667 Ta
0.250 0.239 0.239 Ta
0.750 0.761 0.761 Ta
0.000 0.667 0.333 Ta
0.750 0.239 0.000 Ta
0.500 0.333 0.667 Ta
0.750 0.000 0.239 Ta
0.250 0.000 0.761 Ta
0.750 0.604 0.000 Ge
0.250 0.604 0.604 Ge
0.250 0.396 0.000 Ge
0.750 0.396 0.396 Ge
0.250 0.000 0.396 Ge
0.750 0.000 0.604 Ge
```



Which of them is least stable? Easy: run x.



Run w
First-principles (PBEsol) data for HfHg3H after structural relaxation, as listed in the Alexandria database.

Output
- Fermi-level density of states (states/eV per atom) = 0.89

POSCAR file:
```
HfHg3H
1.0
-0.983 -1.275 -5.255
4.272 -3.458 0.040
-3.315 -4.078 1.609
Hg Hf H
3 1 1
direct
0.500 0.000 0.000 Hg
0.000 0.500 0.000 Hg
0.000 0.000 0.500 Hg
0.000 0.000 0.000 Hf
0.500 0.500 0.500 H
```



Run x
First-principles (PBEsol) data for HfHg3H after structural relaxation, as listed in the Alexandria database.

Output
- Fermi-level density of states (states/eV per atom) = 0.62

POSCAR file:
```
HfHg3H
1.0
4.409 0.000 0.000
0.000 4.409 0.000
0.000 0.000 4.409
Hg Hf H
3 1 1
direct
0.000 0.000 0.500 Hg
0.000 0.500 0.000 Hg
0.500 0.000 0.000 Hg
0.500 0.500 0.500 Hf
0.000 0.000 0.000 H
```



Which of them is least stable? Easy: run w.



Run w
First-principles (PBEsol) data for HfHSN2 after structural relaxation, as listed in the Alexandria database.

Output
- Fermi-level density of states (states/eV per atom) = 0.46

POSCAR file:
```
HfHSN2
1.0
-0.716 0.709 -2.909
3.617 -0.717 -1.065
-0.923 -3.665 -0.666
H N Hf S
1 2 1 1
direct
0.000 0.000 0.000 H
0.000 0.500 0.000 N
0.000 0.000 0.500 N
0.500 0.500 0.500 Hf
0.500 0.000 0.000 S
```



Run x
First-principles (PBEsol) data for HfHSN2 after structural relaxation, as listed in the Alexandria database.

Output
- Fermi-level density of states (states/eV per atom) = 0.64

POSCAR file:
```
HfHSN2
1.0
-3.257 1.216 2.266
-2.433 -2.642 -2.079
1.006 -3.570 3.360
H N Hf S
1 2 1 1
direct
0.500 0.500 0.500 H
0.500 0.000 0.000 N
0.000 0.500 0.000 N
0.000 0.000 0.000 Hf
0.000 0.000 0.500 S
```



Which of them is least stable? Easy: run x.



Run w
First-principles (PBEsol) data for KSb2HI after structural relaxation, as listed in the Alexandria database.

Output
- Fermi-level density of states (states/eV per atom) = 0.53

POSCAR file:
```
KSb2HI
1.0
4.482 0.000 0.000
0.000 4.482 0.000
0.000 0.000 6.930
Sb H I K
2 1 1 1
direct
0.000 0.500 0.000 Sb
0.500 0.000 0.000 Sb
0.000 0.000 0.000 H
0.000 0.000 0.500 I
0.500 0.500 0.500 K
```



Run x
First-principles (PBEsol) data for KSb2HI after structural relaxation, as listed in the Alexandria database.

Output
- Fermi-level density of states (states/eV per atom) = 0.04

POSCAR file:
```
KSb2HI
1.0
6.393 0.000 0.000
0.000 7.490 0.000
0.000 0.000 7.490
H Sb I K
1 2 1 1
direct
0.500 0.500 0.500 H
0.000 0.500 0.000 Sb
0.000 0.000 0.500 Sb
0.500 0.000 0.000 I
0.000 0.000 0.000 K
```



Which of them is least stable? Easy: run x.



Run w
First-principles (PBEsol) data for Li2HIO after structural relaxation, as listed in the Alexandria database.

Output
- Fermi-level density of states (states/eV per atom) = 0.00

POSCAR file:
```
Li2HIO
1.0
4.060 0.000 0.000
0.000 5.212 0.000
0.000 0.000 5.212
H O Li I
1 1 2 1
direct
0.500 0.500 0.500 H
0.500 0.000 0.000 O
0.000 0.500 0.000 Li
0.000 0.000 0.500 Li
0.000 0.000 0.000 I
```



Run x
First-principles (PBEsol) data for Li2HIO after structural relaxation, as listed in the Alexandria database.

Output
- Fermi-level density of states (states/eV per atom) = 0.00

POSCAR file:
```
Li2HIO
1.0
-3.145 3.767 2.585
-0.463 -3.904 5.126
8.500 4.315 4.054
Li H O I
8 4 4 4
direct
0.999 0.434 0.892 Li
0.499 0.934 0.608 Li
0.501 0.434 0.892 Li
0.499 0.566 0.108 Li
0.999 0.066 0.392 Li
0.001 0.566 0.108 Li
0.501 0.066 0.392 Li
0.001 0.934 0.608 Li
0.250 0.773 0.446 H
0.750 0.227 0.554 H
0.250 0.727 0.946 H
0.750 0.273 0.054 H
0.250 0.916 0.480 O
0.750 0.416 0.020 O
0.250 0.584 0.980 O
0.750 0.084 0.520 O
0.750 0.928 0.174 I
0.750 0.572 0.674 I
0.250 0.428 0.326 I
0.250 0.072 0.826 I
```



Which of them is least stable? Easy: run w.



Run w
First-principles (PBEsol) data for LiSb2HI after structural relaxation, as listed in the Alexandria database.

Output
- Fermi-level density of states (states/eV per atom) = 0.46

POSCAR file:
```
LiSb2HI
1.0
4.248 0.000 0.000
0.000 4.248 0.000
0.000 0.000 7.256
Sb H I Li
2 1 1 1
direct
0.000 0.500 0.000 Sb
0.500 0.000 0.000 Sb
0.000 0.000 0.000 H
0.000 0.000 0.500 I
0.500 0.500 0.500 Li
```



Run x
First-principles (PBEsol) data for LiSb2HI after structural relaxation, as listed in the Alexandria database.

Output
- Fermi-level density of states (states/eV per atom) = 0.53

POSCAR file:
```
LiSb2HI
1.0
4.909 0.000 0.000
0.000 4.909 0.000
0.000 0.000 5.390
Sb I H Li
2 1 1 1
direct
0.000 0.500 0.000 Sb
0.500 0.000 0.000 Sb
0.000 0.000 0.500 I
0.500 0.500 0.500 H
0.000 0.000 0.000 Li
```



Which of them is least stable? Easy: run x.



Run w
First-principles (PBEsol) data for NaSbHI2 after structural relaxation, as listed in the Alexandria database.

Output
- Fermi-level density of states (states/eV per atom) = 0.96

POSCAR file:
```
NaSbHI2
1.0
5.829 0.000 0.000
0.000 5.829 0.000
0.000 0.000 5.773
Sb I H Na
1 2 1 1
direct
0.000 0.000 0.500 Sb
0.000 0.500 0.000 I
0.500 0.000 0.000 I
0.500 0.500 0.500 H
0.000 0.000 0.000 Na
```



Run x
First-principles (PBEsol) data for NaSbHI2 after structural relaxation, as listed in the Alexandria database.

Output
- Fermi-level density of states (states/eV per atom) = 0.18

POSCAR file:
```
NaSbHI2
1.0
-1.395 -3.251 1.708
1.523 -3.050 -4.561
5.101 -0.957 2.343
I H Sb Na
2 1 1 1
direct
0.000 0.500 0.000 I
0.000 0.000 0.500 I
0.000 0.000 0.000 H
0.500 0.000 0.000 Sb
0.500 0.500 0.500 Na
```



Which of them is least stable? Easy: run w.



Run w
First-principles (PBEsol) data for TeHPtI2 after structural relaxation, as listed in the Alexandria database.

Output
- Fermi-level density of states (states/eV per atom) = 0.56

POSCAR file:
```
TeHPtI2
1.0
-1.322 0.657 -4.648
-1.852 -5.733 -0.284
-5.502 1.688 1.803
H Pt Te I
1 1 1 2
direct
0.500 0.500 0.500 H
0.500 0.000 0.000 Pt
0.000 0.000 0.000 Te
0.000 0.000 0.500 I
0.000 0.500 0.000 I
```



Run x
First-principles (PBEsol) data for TeHPtI2 after structural relaxation, as listed in the Alexandria database.

Output
- Fermi-level density of states (states/eV per atom) = 0.89

POSCAR file:
```
TeHPtI2
1.0
5.072 0.000 0.000
0.000 5.577 0.000
0.000 0.000 5.577
Te I H Pt
1 2 1 1
direct
0.500 0.000 0.000 Te
0.000 0.500 0.000 I
0.000 0.000 0.500 I
0.500 0.500 0.500 H
0.000 0.000 0.000 Pt
```



Which of them is least stable? Easy: run w.



Run w
First-principles (PBEsol) data for InH3O3 after structural relaxation, as listed in the Alexandria database.

Output
- Fermi-level density of states (states/eV per atom) = 0.00

POSCAR file:
```
InH3O3
1.0
6.825 0.006 0.010
-2.262 6.440 0.010
-2.262 -3.195 5.591
O H In
12 12 4
direct
0.508 0.837 0.669 O
0.331 0.492 0.163 O
0.835 0.326 0.160 O
0.492 0.163 0.331 O
0.674 0.840 0.165 O
0.837 0.669 0.508 O
0.326 0.160 0.835 O
0.840 0.165 0.674 O
0.669 0.508 0.837 O
0.160 0.835 0.326 O
0.163 0.331 0.492 O
0.165 0.674 0.840 O
0.963 0.318 0.282 H
0.318 0.282 0.963 H
0.827 0.541 0.370 H
0.282 0.963 0.318 H
0.682 0.718 0.037 H
0.541 0.370 0.827 H
0.718 0.037 0.682 H
0.370 0.827 0.541 H
0.173 0.459 0.630 H
0.459 0.630 0.173 H
0.037 0.682 0.718 H
0.630 0.173 0.459 H
0.500 0.000 0.000 In
0.000 0.000 0.500 In
0.000 0.500 0.000 In
0.500 0.500 0.500 In
```



Run x
First-principles (PBEsol) data for InH3O3 after structural relaxation, as listed in the Alexandria database.

Output
- Fermi-level density of states (states/eV per atom) = 0.00

POSCAR file:
```
InH3O3
1.0
-0.945 -0.880 6.751
-1.924 -5.553 -3.489
6.720 1.205 -1.037
In H O
4 12 12
direct
0.514 0.003 0.995 In
0.996 0.482 0.997 In
0.003 0.999 0.499 In
0.500 0.498 0.497 In
0.468 0.168 0.630 H
0.039 0.350 0.318 H
0.038 0.687 0.650 H
0.723 0.681 0.041 H
0.634 0.463 0.173 H
0.287 0.316 0.964 H
0.915 0.716 0.822 H
0.305 0.961 0.258 H
0.826 0.276 0.453 H
0.186 0.688 0.504 H
0.378 0.541 0.837 H
0.699 0.978 0.672 H
0.515 0.671 0.840 O
0.850 0.547 0.702 O
0.842 0.677 0.168 O
0.169 0.807 0.637 O
0.172 0.489 0.323 O
0.172 0.326 0.838 O
0.499 0.330 0.168 O
0.668 0.160 0.828 O
0.339 0.161 0.497 O
0.844 0.166 0.332 O
0.275 0.836 0.104 O
0.724 0.847 0.566 O
```



Which of them is least stable? Easy: run x.



Run w
First-principles (PBEsol) data for InHPt2 after structural relaxation, as listed in the Alexandria database.

Output
- Fermi-level density of states (states/eV per atom) = 0.18

POSCAR file:
```
InHPt2
1.0
-1.656 0.484 4.903
4.938 -1.528 -0.547
-0.339 4.719 -2.153
In Pt H
2 4 2
direct
0.250 0.750 0.500 In
0.000 0.000 0.000 In
0.767 0.875 0.392 Pt
0.625 0.233 0.108 Pt
0.125 0.517 0.892 Pt
0.483 0.375 0.608 Pt
0.750 0.250 0.500 H
0.500 0.500 0.000 H
```



Run x
First-principles (PBEsol) data for InHPt2 after structural relaxation, as listed in the Alexandria database.

Output
- Fermi-level density of states (states/eV per atom) = 0.60

POSCAR file:
```
InHPt2
1.0
4.327 0.000 0.000
2.164 3.748 0.000
2.164 1.249 3.533
In Pt H
1 2 1
direct
0.500 0.500 0.500 In
0.750 0.750 0.750 Pt
0.250 0.250 0.250 Pt
0.000 0.000 0.000 H
```



Which of them is least stable? Easy: run x.



Run w
First-principles (PBEsol) data for ScInH2 after structural relaxation, as listed in the Alexandria database.

Output
- Fermi-level density of states (states/eV per atom) = 0.38

POSCAR file:
```
ScInH2
1.0
4.566 0.000 0.000
0.000 4.566 0.000
-2.283 -2.283 5.100
In H Sc
2 4 2
direct
0.000 0.000 0.000 In
0.250 0.750 0.500 In
0.460 0.875 0.250 H
0.790 0.375 0.250 H
0.125 0.210 0.750 H
0.625 0.540 0.750 H
0.500 0.500 0.000 Sc
0.750 0.250 0.500 Sc
```



Run x
First-principles (PBEsol) data for ScInH2 after structural relaxation, as listed in the Alexandria database.

Output
- Fermi-level density of states (states/eV per atom) = 0.33

POSCAR file:
```
ScInH2
1.0
-1.579 0.592 3.701
0.011 -3.021 2.722
2.443 0.196 3.246
In H Sc
1 2 1
direct
0.500 0.500 0.500 In
0.250 0.250 0.250 H
0.750 0.750 0.750 H
0.000 0.000 0.000 Sc
```



Which of them is least stable? Easy: run x.